No. 1
# CaHg2 | Alexandria via LeMat-Bulk | GGA-PBEsol | optimized geometry
data_CaHg2
_chemical_formula_sum 'Ca4 Hg8'
_symmetry_space_group_name_H-M 'C m c m'
_symmetry_Int_Tables_number 63
_symmetry_space_group_name_Hall '-C 2c 2'
_cell_length_a 4.0143
_cell_length_b 14.3052
_cell_length_c 5.0554
_cell_angle_alpha 90.00
_cell_angle_beta 90.00
_cell_angle_gamma 90.00
loop_
_atom_site_label
_atom_site_fract_x
_atom_site_fract_y
_atom_site_fract_z
Ca1 0.0000 0.0975 0.2500
Hg1 0.0000 0.2340 0.7500
Hg2 0.0000 0.4255 0.2500
# Energy relative to the elements (kJ/mol of formula units): -149.0



No. 2
# CsLaCr2Mo | Alexandria via LeMat-Bulk | GGA-PBEsol | optimized geometry
data_CsLaCr2Mo
_chemical_formula_sum 'Cs1 La1 Cr2 Mo1'
_symmetry_space_group_name_H-M 'P 4/m m m'
_symmetry_Int_Tables_number 123
_symmetry_space_group_name_Hall '-P 4 2'
_cell_length_a 4.9491
_cell_length_b 4.9491
_cell_length_c 5.4181
_cell_angle_alpha 90.00
_cell_angle_beta 90.00
_cell_angle_gamma 90.00
loop_
_atom_site_label
_atom_site_fract_x
_atom_site_fract_y
_atom_site_fract_z
Cs1 0.0000 0.0000 0.0000
La1 0.5000 0.5000 0.0000
Cr1 0.0000 0.5000 0.5000
Mo1 0.5000 0.5000 0.5000
# Energy relative to the elements (kJ/mol of formula units): 578.5



No. 3
# FeOsRh2 | Alexandria via LeMat-Bulk | GGA-PBEsol | optimized geometry
data_FeOsRh2
_chemical_formula_sum 'Fe1 Os1 Rh2'
_symmetry_space_group_name_H-M 'P m m 2'
_symmetry_Int_Tables_number 25
_cell_length_a 2.6609
_cell_length_b 4.2371
_cell_length_c 4.6309
_cell_angle_alpha 90.00
_cell_angle_beta 90.00
_cell_angle_gamma 90.00
loop_
_symmetry_equiv_pos_as_xyz
'x,y,z'
'-x,-y,z'
'-x,y,z'
'x,-y,z'
loop_
_atom_site_label
_atom_site_fract_x
_atom_site_fract_y
_atom_site_fract_z
Fe1 0.0000 0.0000 0.0000
Os1 0.0000 0.5000 0.6802
Rh1 0.5000 0.0000 0.5090
Rh2 0.5000 0.5000 0.1699
# Offset from the most stable computed form (meV/atom): 0
# Energy relative to the elements (kJ/mol of formula units): 8.0



No. 4
# LiCoPb | Alexandria via LeMat-Bulk | GGA-PBEsol | optimized geometry
data_LiCoPb
_chemical_formula_sum 'Li4 Co4 Pb4'
_symmetry_space_group_name_H-M 'F -4 3 m'
_symmetry_Int_Tables_number 216
_symmetry_space_group_name_Hall 'F -4 2 3'
_cell_length_a 6.0236
_cell_length_b 6.0236
_cell_length_c 6.0236
_cell_angle_alpha 90.00
_cell_angle_beta 90.00
_cell_angle_gamma 90.00
loop_
_atom_site_label
_atom_site_fract_x
_atom_site_fract_y
_atom_site_fract_z
Li1 0.0000 0.0000 0.0000
Co1 0.0000 0.0000 0.5000
Pb1 0.2500 0.2500 0.2500
# Energy relative to the elements (kJ/mol of formula units): 123.5



No. 5
# Zn2NiSb | Alexandria via LeMat-Bulk | GGA-PBEsol | optimized geometry
data_Zn2NiSb
_chemical_formula_sum 'Zn4 Ni2 Sb2'
_symmetry_space_group_name_H-M 'C 1 2/m 1'
_symmetry_Int_Tables_number 12
_cell_length_a 8.5788
_cell_length_b 3.6570
_cell_length_c 4.1297
_cell_angle_alpha 90.00
_cell_angle_beta 104.09
_cell_angle_gamma 90.00
loop_
_symmetry_equiv_pos_as_xyz
'x,y,z'
'-x,-y,-z'
'-x,y,-z'
'x,-y,z'
'x+1/2,y+1/2,z'
'-x+1/2,-y+1/2,-z'
'-x+1/2,y+1/2,-z'
'x+1/2,-y+1/2,z'
loop_
_atom_site_label
_atom_site_fract_x
_atom_site_fract_y
_atom_site_fract_z
Zn1 0.2408 0.0000 0.2004
Ni1 0.0000 0.5000 0.0000
Sb1 0.0000 0.0000 0.5000
# Raw formation energy (meV per atom): 53



No. 6
# Sr2FeSnO6 | Alexandria via LeMat-Bulk | GGA-PBEsol | optimized geometry
data_Sr2FeSnO6
_chemical_formula_sum 'Sr2 Fe1 Sn1 O6'
_symmetry_space_group_name_H-M 'P 4/m m m'
_symmetry_Int_Tables_number 123
_symmetry_space_group_name_Hall '-P 4 2'
_cell_length_a 3.9660
_cell_length_b 3.9660
_cell_length_c 7.8013
_cell_angle_alpha 90.00
_cell_angle_beta 90.00
_cell_angle_gamma 90.00
loop_
_atom_site_label
_atom_site_fract_x
_atom_site_fract_y
_atom_site_fract_z
Sr1 0.0000 0.0000 0.2303
Fe1 0.5000 0.5000 0.0000
Sn1 0.5000 0.5000 0.5000
O1 0.0000 0.5000 0.0000
O2 0.0000 0.5000 0.5000
O3 0.5000 0.5000 0.2345
# Offset from the most stable computed form (meV/atom): 0
# Raw formation energy (meV per atom): -2108



No. 7
# MnBPRu2 | Alexandria via LeMat-Bulk | GGA-PBEsol | optimized geometry
data_MnBPRu2
_chemical_formula_sum 'Mn1 B1 P1 Ru2'
_symmetry_space_group_name_H-M 'P 4/m m m'
_symmetry_Int_Tables_number 123
_symmetry_space_group_name_Hall '-P 4 2'
_cell_length_a 3.9889
_cell_length_b 3.9889
_cell_length_c 3.7643
_cell_angle_alpha 90.00
_cell_angle_beta 90.00
_cell_angle_gamma 90.00
loop_
_atom_site_label
_atom_site_fract_x
_atom_site_fract_y
_atom_site_fract_z
Mn1 0.0000 0.0000 0.0000
B1 0.0000 0.0000 0.5000
P1 0.5000 0.5000 0.0000
Ru1 0.0000 0.5000 0.5000
# Energy relative to the elements (kJ/mol of formula units): 117.9



No. 8
# ScAl2Ag | Alexandria via LeMat-Bulk | GGA-PBEsol | optimized geometry
data_ScAl2Ag
_chemical_formula_sum 'Sc2 Al4 Ag2'
_symmetry_space_group_name_H-M 'I -4 m 2'
_symmetry_Int_Tables_number 119
_symmetry_space_group_name_Hall 'I -4 -2'
_cell_length_a 4.1553
_cell_length_b 4.1553
_cell_length_c 8.0787
_cell_angle_alpha 90.00
_cell_angle_beta 90.00
_cell_angle_gamma 90.00
loop_
_atom_site_label
_atom_site_fract_x
_atom_site_fract_y
_atom_site_fract_z
Sc1 0.0000 0.0000 0.0000
Al1 0.0000 0.0000 0.5000
Al2 0.0000 0.5000 0.2500
Ag1 0.0000 0.5000 0.7500
# Energy relative to the elements (kJ/mol of formula units): -107.9



No. 9
# Ca4Si3Pd4 | Alexandria via LeMat-Bulk | GGA-PBEsol | optimized geometry
data_Ca4Si3Pd4
_chemical_formula_sum 'Ca16 Si12 Pd16'
_symmetry_space_group_name_H-M 'C 1 2/c 1'
_symmetry_Int_Tables_number 15
_cell_length_a 20.6878
_cell_length_b 5.6297
_cell_length_c 7.7336
_cell_angle_alpha 90.00
_cell_angle_beta 109.13
_cell_angle_gamma 90.00
loop_
_symmetry_equiv_pos_as_xyz
'x,y,z'
'-x,-y,-z'
'-x,y,-z+1/2'
'x,-y,z+1/2'
'x+1/2,y+1/2,z'
'-x+1/2,-y+1/2,-z'
'-x+1/2,y+1/2,-z+1/2'
'x+1/2,-y+1/2,z+1/2'
loop_
_atom_site_label
_atom_site_fract_x
_atom_site_fract_y
_atom_site_fract_z
Ca1 0.0675 0.1335 0.1726
Ca2 0.1697 0.3744 0.9072
Si1 0.0000 0.3814 0.7500
Si2 0.1716 0.1330 0.5649
Pd1 0.0619 0.3652 0.5241
Pd2 0.2220 0.1385 0.3182
# Raw formation energy (meV per atom): -836



No. 10
# LaMoP2 | Alexandria via LeMat-Bulk | GGA-PBEsol | optimized geometry
data_LaMoP2
_chemical_formula_sum 'La4 Mo4 P8'
_symmetry_space_group_name_H-M 'F -4 3 m'
_symmetry_Int_Tables_number 216
_symmetry_space_group_name_Hall 'F -4 2 3'
_cell_length_a 6.5513
_cell_length_b 6.5513
_cell_length_c 6.5513
_cell_angle_alpha 90.00
_cell_angle_beta 90.00
_cell_angle_gamma 90.00
loop_
_atom_site_label
_atom_site_fract_x
_atom_site_fract_y
_atom_site_fract_z
La1 0.0000 0.0000 0.0000
Mo1 0.2500 0.2500 0.7500
P1 0.0000 0.0000 0.5000
P2 0.2500 0.2500 0.2500
# Offset from the most stable computed form (meV/atom): 1051
# Energy relative to the elements (kJ/mol of formula units): 90.4



No. 11
# CoSe2 | Alexandria via LeMat-Bulk | GGA-PBEsol | optimized geometry
data_CoSe2
_chemical_formula_sum 'Co2 Se4'
_symmetry_space_group_name_H-M 'I m m m'
_symmetry_Int_Tables_number 71
_symmetry_space_group_name_Hall '-I 2 2'
_cell_length_a 2.7822
_cell_length_b 2.9875
_cell_length_c 11.9917
_cell_angle_alpha 90.00
_cell_angle_beta 90.00
_cell_angle_gamma 90.00
loop_
_atom_site_label
_atom_site_fract_x
_atom_site_fract_y
_atom_site_fract_z
Co1 0.0000 0.0000 0.0000
Se1 0.0000 0.0000 0.3752
# Raw formation energy (meV per atom): 63



No. 12
# Zr2MnAs | Alexandria via LeMat-Bulk | GGA-PBEsol | optimized geometry
data_Zr2MnAs
_chemical_formula_sum 'Zr4 Mn2 As2'
_symmetry_space_group_name_H-M 'I m m m'
_symmetry_Int_Tables_number 71
_symmetry_space_group_name_Hall '-I 2 2'
_cell_length_a 3.9397
_cell_length_b 4.4607
_cell_length_c 7.7367
_cell_angle_alpha 90.00
_cell_angle_beta 90.00
_cell_angle_gamma 90.00
loop_
_atom_site_label
_atom_site_fract_x
_atom_site_fract_y
_atom_site_fract_z
Zr1 0.0000 0.0000 0.2398
Mn1 0.0000 0.5000 0.5000
As1 0.0000 0.5000 0.0000
# Energy relative to the elements (kJ/mol of formula units): -120.9



No. 13
# HgMoO4 | Alexandria via LeMat-Bulk | GGA-PBEsol | optimized geometry
data_HgMoO4
_chemical_formula_sum 'Hg4 Mo4 O16'
_symmetry_space_group_name_H-M 'C 1 2/c 1'
_symmetry_Int_Tables_number 15
_cell_length_a 11.3144
_cell_length_b 6.0719
_cell_length_c 5.1306
_cell_angle_alpha 90.00
_cell_angle_beta 112.61
_cell_angle_gamma 90.00
loop_
_symmetry_equiv_pos_as_xyz
'x,y,z'
'-x,-y,-z'
'-x,y,-z+1/2'
'x,-y,z+1/2'
'x+1/2,y+1/2,z'
'-x+1/2,-y+1/2,-z'
'-x+1/2,y+1/2,-z+1/2'
'x+1/2,-y+1/2,z+1/2'
loop_
_atom_site_label
_atom_site_fract_x
_atom_site_fract_y
_atom_site_fract_z
Hg1 0.2500 0.2500 0.0000
Mo1 0.0000 0.1902 0.2500
O1 0.0973 0.0898 0.0344
O2 0.1144 0.3649 0.4725
# Raw formation energy (meV per atom): -1441



no.,total magnetic moment (μB/f.u.),N(E_F) (states/eV/f.u.)
1,0.00,1.2
2,6.56,4.6
3,2.42,3.8
4,0.00,2.4
5,0.00,1.3
6,3.62,0.4
7,1.39,3.1
8,0.00,2.1
9,0.00,4.1
10,0.00,4.2
11,0.00,2.1
12,1.24,4.4
13,0.00,0.0